[1]
This record from Alexandria via LeMat-Bulk describes Be2POs at its PBEsol-relaxed geometry. The functional is meta-GGA SCAN.

Properties
Crystal system = orthorhombic
ρ = 9.47 g/cm3
V = 42 Å³/cell
DFT total energy = -22.856 eV per atom
DOS at the Fermi energy = 1.356 states/eV per cell

Unit cell a=2.9504 b=3.5625 c=3.9918 alpha=90.00 beta=90.00 gamma=90.00
Closest atoms and distances in Å follow each position.
Fractional positions:
Be  0.0000  0.0000  0.0000  2 Be 2.22, 2 P 2.23, 4 Os 2.43
Be  0.0000  0.5000  0.3308  2 Be 2.22, 4 P 2.34, 2 Os 2.43
P  0.5000  0.0000  0.4197  6 Be 2.23-2.34, 2 Os 2.38
Os  0.5000  0.5000  0.8147  2 P 2.38, 8 Be 2.43-2.53

=====

[2]
This record from Alexandria via LeMat-Bulk describes CeAsO4F at its PBEsol-relaxed geometry. The functional is meta-GGA SCAN.

Properties
Crystal system = orthorhombic
ρ = 4.82 g/cm3
V = 411 Å³/cell
Formation energy without anion corrections = -2.5928 eV per atom
DOS at the Fermi energy = 0.000 states/eV per cell

Unit cell a=8.6940 b=7.1182 c=6.6377 alpha=90.00 beta=90.00 gamma=90.00
Closest atoms and distances in Å follow each position.
Fractional positions:
Ce  0.0432  0.2500  0.1479  4 O 2.21-2.27, 2 F 2.23-2.36
Ce  0.4568  0.7500  0.6479  4 O 2.21-2.27, 2 F 2.23-2.36
Ce  0.5432  0.2500  0.3521  4 O 2.21-2.27, 2 F 2.23-2.36
Ce  0.9568  0.7500  0.8521  4 O 2.21-2.27, 2 F 2.23-2.36
As  0.1033  0.7500  0.3234  4 O 1.69-1.72
As  0.3967  0.2500  0.8234  4 O 1.69-1.72
As  0.6033  0.7500  0.1766  4 O 1.69-1.72
As  0.8967  0.2500  0.6766  4 O 1.69-1.72
O  0.0223  0.2500  0.4819  1 As 1.69
O  0.0713  0.5663  0.1602  1 As 1.72
O  0.0713  0.9337  0.1602  1 As 1.72
O  0.2108  0.2500  0.8978  1 As 1.69
O  0.2892  0.7500  0.3978  1 As 1.69
O  0.4287  0.0663  0.6602  1 As 1.72
O  0.4287  0.4337  0.6602  1 As 1.72
O  0.4777  0.7500  0.9819  1 As 1.69
O  0.5223  0.2500  0.0181  1 As 1.69
O  0.5713  0.5663  0.3398  1 As 1.72
O  0.5713  0.9337  0.3398  1 As 1.72
O  0.7108  0.2500  0.6022  1 As 1.69
O  0.7892  0.7500  0.1022  1 As 1.69
O  0.9287  0.0663  0.8398  1 As 1.72
O  0.9287  0.4337  0.8398  1 As 1.72
O  0.9777  0.7500  0.5181  1 As 1.69
F  0.2095  0.7500  0.7946  2 Ce 2.23-2.36
F  0.2905  0.2500  0.2946  2 Ce 2.23-2.36
F  0.7095  0.7500  0.7054  2 Ce 2.23-2.36
F  0.7905  0.2500  0.2054  2 Ce 2.23-2.36

=====

[3]
This record from Alexandria via LeMat-Bulk describes La2CuIr at its PBEsol-relaxed geometry. The functional is meta-GGA SCAN.

Properties
Crystal system = trigonal
ρ = 8.61 g/cm3
V = 103 Å³/cell
DFT total energy = -43.610 eV per atom
DOS at the Fermi energy = 1.868 states/eV per cell

Unit cell a=7.1980 b=7.1980 c=7.1980 alpha=33.81 beta=33.81 gamma=33.81
Closest atoms and distances in Å follow each position.
Fractional positions:
La  0.2423  0.2423  0.2423  3 Ir 2.87, 3 Cu 3.04
La  0.7577  0.7577  0.7577  3 Ir 2.87, 3 Cu 3.04
Cu  0.0000  0.0000  0.0000  6 La 3.04
Ir  0.5000  0.5000  0.5000  6 La 2.87